No. 1
Density functional theory data (PBE) for an optimized crystal structure of Sc2MoSe.

Output
As for the calculated volume: 81 Å³/f.u. For the energy above the most stable polymorph in this dataset, the calculation gives 597 meV per atom. The calculation puts the calculated total energy at -6.699 eV per atom. The spin magnetization is 4.37 μB/cell.

CIF file:
```
data_Sc2MoSe
_chemical_formula_sum 'Sc8 Mo4 Se4'
_cell_length_a 7.428
_cell_length_b 7.428
_cell_length_c 5.842
_cell_angle_alpha 90.00
_cell_angle_beta 90.00
_cell_angle_gamma 90.00
_symmetry_space_group_name_H-M 'I -4 2 d'
_symmetry_Int_Tables_number 122
_symmetry_space_group_name_Hall 'I -4 2bw'
loop_
_atom_site_label
_atom_site_type_symbol
_atom_site_fract_x
_atom_site_fract_y
_atom_site_fract_z
_atom_site_occupancy
Sc1 Sc 0.233 0.250 0.125 1
Mo1 Mo 0.000 0.000 0.500 1
Se1 Se 0.000 0.000 0.000 1
```

No. 2
Density functional theory data (PBE) for an optimized crystal structure of ScMoSe3.

Output
As for the calculated volume: 121 Å³/f.u. For the energy above the most stable polymorph in this dataset, the calculation gives 0 meV per atom. The calculation puts the calculated total energy at -5.613 eV per atom. The spin magnetization is 1.92 μB/cell.

CIF file:
```
data_ScMoSe3
_chemical_formula_sum 'Sc1 Mo1 Se3'
_cell_length_a 4.951
_cell_length_b 4.951
_cell_length_c 4.951
_cell_angle_alpha 90.00
_cell_angle_beta 90.00
_cell_angle_gamma 90.00
_symmetry_space_group_name_H-M 'P m -3 m'
_symmetry_Int_Tables_number 221
_symmetry_space_group_name_Hall '-P 4 2 3'
loop_
_atom_site_label
_atom_site_type_symbol
_atom_site_fract_x
_atom_site_fract_y
_atom_site_fract_z
_atom_site_occupancy
Sc1 Sc 0.000 0.000 0.000 1
Mo1 Mo 0.500 0.500 0.500 1
Se1 Se 0.000 0.500 0.500 1
```

No. 3
Density functional theory data (PBE) for an optimized crystal structure of Sc2MoSe.

Output
As for the calculated volume: 74 Å³/f.u. For the energy above the most stable polymorph in this dataset, the calculation gives 364 meV per atom. The calculation puts the calculated total energy at -6.931 eV per atom. The spin magnetization is 0.00 μB/cell.

CIF file:
```
data_Sc2MoSe
_chemical_formula_sum 'Sc4 Mo2 Se2'
_cell_length_a 3.684
_cell_length_b 4.714
_cell_length_c 8.493
_cell_angle_alpha 90.00
_cell_angle_beta 90.00
_cell_angle_gamma 90.00
_symmetry_space_group_name_H-M 'I m m m'
_symmetry_Int_Tables_number 71
_symmetry_space_group_name_Hall '-I 2 2'
loop_
_atom_site_label
_atom_site_type_symbol
_atom_site_fract_x
_atom_site_fract_y
_atom_site_fract_z
_atom_site_occupancy
Sc1 Sc 0.000 0.000 0.249 1
Mo1 Mo 0.000 0.500 0.000 1
Se1 Se 0.000 0.500 0.500 1
```

No. 4
Density functional theory data (PBE) for an optimized crystal structure of Sc2MoSe.

Output
As for the calculated volume: 71 Å³/f.u. For the energy above the most stable polymorph in this dataset, the calculation gives 588 meV per atom. The calculation puts the calculated total energy at -6.707 eV per atom. The spin magnetization is 0.00 μB/cell.

CIF file:
```
data_Sc2MoSe
_chemical_formula_sum 'Sc8 Mo4 Se4'
_cell_length_a 6.572
_cell_length_b 6.572
_cell_length_c 6.572
_cell_angle_alpha 90.00
_cell_angle_beta 90.00
_cell_angle_gamma 90.00
_symmetry_space_group_name_H-M 'F -4 3 m'
_symmetry_Int_Tables_number 216
_symmetry_space_group_name_Hall 'F -4 2 3'
loop_
_atom_site_label
_atom_site_type_symbol
_atom_site_fract_x
_atom_site_fract_y
_atom_site_fract_z
_atom_site_occupancy
Sc1 Sc 0.000 0.000 0.000 1
Sc2 Sc 0.250 0.250 0.250 1
Mo1 Mo 0.250 0.250 0.750 1
Se1 Se 0.000 0.000 0.500 1
```

Theoretical density values (in g/cm3) by entry order: 5.46, 5.17, 5.96, 6.20.